Record 1
Computed, not measured: crystalline VCrOs2 at its relaxed geometry at the PBE-GGA level of DFT.

The total DFT energy (no corrections) is -41.23 eV per cell. The calculation puts the volume at 13.6 A^3/atom. As for the magnetic moment: 0.01 Bohr magnetons per cell. The calculation puts the energy of formation from the pure elements at -0.029 eV/f.u. As for the energy above the lowest structure with this stoichiometry: 16 meV per atom. As for the space group: P4/mmm, No. 123.

a = 3.8386 Å, b = 3.8386 Å, c = 3.6813 Å
α = 90.00°, β = 90.00°, γ = 90.00°
Last column: nearest neighbours and their distance in Å.
Positions (direct):
1 V 0.0000 0.0000 0.0000  8 Os 2.66, 4 Cr 2.71
2 Cr 0.5000 0.5000 0.0000  8 Os 2.66, 4 V 2.71
3 Os 0.0000 0.5000 0.5000  4 Cr 2.66, 4 V 2.66, 4 Os 2.71
4 Os 0.5000 0.0000 0.5000  4 Cr 2.66, 4 V 2.66, 4 Os 2.71

Record 2
Computed, not measured: crystalline LiNb2Pt2 at its relaxed geometry at the PBE-GGA level of DFT.

The total DFT energy (no corrections) is -72.23 eV per cell. The calculation puts the volume at 18.1 A^3/atom. As for the magnetic moment: 0.00 Bohr magnetons per cell. The calculation puts the energy of formation from the pure elements at -1.981 eV/f.u. As for the energy above the lowest structure with this stoichiometry: 13 meV per atom. As for the space group: P4/mbm, No. 127.

a = 8.0633 Å, b = 8.0633 Å, c = 2.7837 Å
α = 90.00°, β = 90.00°, γ = 90.00°
Last column: nearest neighbours and their distance in Å.
Positions (direct):
1 Li 0.0000 0.0000 0.0000  2 Li 2.78
2 Li 0.5000 0.5000 0.0000  2 Li 2.78
3 Nb 0.1210 0.3790 0.0000  6 Pt 2.73-2.78, 3 Nb 2.76-2.78
4 Nb 0.3790 0.8790 0.0000  6 Pt 2.73-2.78, 3 Nb 2.76-2.78
5 Nb 0.6210 0.1210 0.0000  6 Pt 2.73-2.78, 3 Nb 2.76-2.78
6 Nb 0.8790 0.6210 0.0000  6 Pt 2.73-2.78, 3 Nb 2.76-2.78
7 Pt 0.1733 0.6733 0.5000  6 Nb 2.73-2.78, 2 Pt 2.78
8 Pt 0.3267 0.1733 0.5000  6 Nb 2.73-2.78, 2 Pt 2.78
9 Pt 0.6733 0.8267 0.5000  6 Nb 2.73-2.78, 2 Pt 2.78
10 Pt 0.8267 0.3267 0.5000  6 Nb 2.73-2.78, 2 Pt 2.78

Record 3
Computed, not measured: crystalline Sm2Dy4YTm2 at its relaxed geometry at the PBE-GGA level of DFT.

The total DFT energy (no corrections) is -43.15 eV per cell. The calculation puts the volume at 31.8 A^3/atom. As for the magnetic moment: 0.00 Bohr magnetons per cell. The calculation puts the energy of formation from the pure elements at 0.100 eV/f.u. As for the space group: C2/m, No. 12.

a = 9.4835 Å, b = 9.4835 Å, c = 9.5219 Å
α = 115.25°, β = 115.25°, γ = 21.81°
Last column: nearest neighbours and their distance in Å.
Positions (direct):
1 Sm 0.1483 0.1483 0.1674  3 Tm 3.51-3.53, 7 Dy 3.54-3.59, 2 Sm 3.59
2 Sm 0.8517 0.8517 0.8326  3 Tm 3.51-3.53, 7 Dy 3.54-3.59, 2 Sm 3.59
3 Dy 0.1848 0.1848 0.8324  2 Tm 3.52, 1 Y 3.52, 3 Sm 3.54-3.59, 6 Dy 3.55-3.59
4 Dy 0.4815 0.4815 0.1677  2 Y 3.52, 1 Tm 3.54, 4 Sm 3.54-3.59, 5 Dy 3.55-3.59
5 Dy 0.5185 0.5185 0.8323  2 Y 3.52, 1 Tm 3.54, 4 Sm 3.54-3.59, 5 Dy 3.55-3.59
6 Dy 0.8152 0.8152 0.1676  2 Tm 3.52, 1 Y 3.52, 3 Sm 3.54-3.59, 6 Dy 3.55-3.59
7 Y 0.0000 0.0000 0.5000  6 Dy 3.52, 2 Y 3.59, 4 Tm 3.59
8 Tm 0.3328 0.3328 0.4987  3 Sm 3.51-3.53, 3 Dy 3.52-3.54, 4 Tm 3.58-3.59, 2 Y 3.59
9 Tm 0.6672 0.6672 0.5013  3 Sm 3.51-3.53, 3 Dy 3.52-3.54, 4 Tm 3.58-3.59, 2 Y 3.59

Record 4
Computed, not measured: crystalline NdTlRh2 at its relaxed geometry at the PBE-GGA level of DFT.

The total DFT energy (no corrections) is -23.59 eV per cell. The calculation puts the volume at 19.7 A^3/atom. As for the magnetic moment: 0.00 Bohr magnetons per cell. The calculation puts the energy of formation from the pure elements at -1.753 eV/f.u. As for the space group: P4/mmm, No. 123.

a = 4.5875 Å, b = 4.5875 Å, c = 3.7398 Å
α = 90.00°, β = 90.00°, γ = 90.00°
Last column: nearest neighbours and their distance in Å.
Positions (direct):
1 Nd 0.0000 0.0000 0.0000  8 Rh 2.96, 4 Tl 3.24
2 Tl 0.5000 0.5000 0.0000  8 Rh 2.96, 4 Nd 3.24
3 Rh 0.0000 0.5000 0.5000  4 Tl 2.96, 4 Nd 2.96, 4 Rh 3.24
4 Rh 0.5000 0.0000 0.5000  4 Tl 2.96, 4 Nd 2.96, 4 Rh 3.24

Record 5
Computed, not measured: crystalline KSb2IN at its relaxed geometry at the PBE-GGA level of DFT.

The total DFT energy (no corrections) is -17.93 eV per cell. The calculation puts the volume at 38.1 A^3/atom. As for the magnetic moment: 0.00 Bohr magnetons per cell. As for the energy above the lowest structure with this stoichiometry: 0 meV per atom. As for the space group: P4/mmm, No. 123.

a = 4.6318 Å, b = 4.6318 Å, c = 8.8779 Å
α = 90.00°, β = 90.00°, γ = 90.00°
Last column: nearest neighbours and their distance in Å.
Positions (direct):
1 K 0.0000 0.0000 0.0000  4 I 3.28
2 Sb 0.0000 0.5000 0.5000  2 N 2.32
3 Sb 0.5000 0.0000 0.5000  2 N 2.32
4 I 0.5000 0.5000 0.0000  4 K 3.28
5 N 0.5000 0.5000 0.5000  4 Sb 2.32

Record 6
Computed, not measured: crystalline MnCd2In at its relaxed geometry at the PBE-GGA level of DFT.

The total DFT energy (no corrections) is -12.86 eV per cell. The calculation puts the volume at 20.8 A^3/atom. As for the magnetic moment: 3.50 Bohr magnetons per cell. The calculation puts the energy of formation from the pure elements at 0.873 eV/f.u. As for the space group: Cmmm, No. 65.

a = 5.2759 Å, b = 5.2759 Å, c = 3.2226 Å
α = 90.00°, β = 90.00°, γ = 112.04°
Last column: nearest neighbours and their distance in Å.
Positions (direct):
1 Mn 0.0000 0.0000 0.0000  2 In 2.95, 8 Cd 3.09, 2 Mn 3.22
2 Cd 0.0000 0.5000 0.5000  4 Cd 2.95-3.22, 4 In 3.09, 4 Mn 3.09
3 Cd 0.5000 0.0000 0.5000  4 Cd 2.95-3.22, 4 Mn 3.09, 4 In 3.09
4 In 0.5000 0.5000 0.0000  2 Mn 2.95, 8 Cd 3.09, 2 In 3.22

Record 7
Computed, not measured: crystalline Co3ReBr at its relaxed geometry at the PBE-GGA level of DFT.

The total DFT energy (no corrections) is -27.12 eV per cell. The calculation puts the volume at 15.6 A^3/atom. As for the magnetic moment: 5.86 Bohr magnetons per cell. As for the energy above the lowest structure with this stoichiometry: 99 meV per atom. As for the space group: Pm-3m, No. 221.

a = 4.2760 Å, b = 4.2760 Å, c = 4.2760 Å
α = 90.00°, β = 90.00°, γ = 90.00°
Last column: nearest neighbours and their distance in Å.
Positions (direct):
1 Co 0.0000 0.0000 0.5000  2 Br 2.14
2 Co 0.0000 0.5000 0.0000  2 Br 2.14
3 Co 0.5000 0.0000 0.0000  2 Br 2.14
4 Re 0.5000 0.5000 0.5000  12 Co 3.02
5 Br 0.0000 0.0000 0.0000  6 Co 2.14

Record 8
Computed, not measured: crystalline MnBBr2N at its relaxed geometry at the PBE-GGA level of DFT.

The total DFT energy (no corrections) is -23.02 eV per cell. The calculation puts the volume at 19.4 A^3/atom. As for the magnetic moment: 2.62 Bohr magnetons per cell. As for the space group: P4/mmm, No. 123.

a = 5.2358 Å, b = 5.2358 Å, c = 3.5335 Å
α = 90.00°, β = 90.00°, γ = 90.00°
Last column: nearest neighbours and their distance in Å.
Positions (direct):
1 Mn 0.0000 0.0000 0.0000  2 N 1.77
2 B 0.5000 0.5000 0.5000  8 Br 3.16, 2 B 3.53
3 Br 0.0000 0.5000 0.0000  2 Mn 2.62
4 Br 0.5000 0.0000 0.0000  2 Mn 2.62
5 N 0.0000 0.0000 0.5000  2 Mn 1.77

Record 9
Computed, not measured: crystalline Cd2AsSe at its relaxed geometry at the PBE-GGA level of DFT.

The total DFT energy (no corrections) is -8.96 eV per cell. The calculation puts the volume at 23.0 A^3/atom. As for the magnetic moment: 0.26 Bohr magnetons per cell. As for the energy above the lowest structure with this stoichiometry: 429 meV per atom. As for the space group: R-3m, No. 166.

a = 12.4581 Å, b = 12.4581 Å, c = 12.4581 Å
α = 13.53°, β = 13.53°, γ = 13.53°
Last column: nearest neighbours and their distance in Å.
Positions (direct):
1 Cd 0.2455 0.2455 0.2455  6 Cd 2.93
2 Cd 0.7545 0.7545 0.7545  6 Cd 2.93
3 As 0.5000 0.5000 0.5000  6 As 2.93
4 Se 0.0000 0.0000 0.0000  6 Se 2.93

Record 10
Computed, not measured: crystalline Cs2NaHI6 at its relaxed geometry at the PBE-GGA level of DFT.

The total DFT energy (no corrections) is -21.33 eV per cell. The calculation puts the volume at 44.1 A^3/atom. As for the magnetic moment: 0.00 Bohr magnetons per cell. As for the space group: I4/mmm, No. 139.

a = 9.0181 Å, b = 9.0181 Å, c = 9.0181 Å
α = 128.13°, β = 128.13°, γ = 76.42°
Last column: nearest neighbours and their distance in Å.
Positions (direct):
1 Cs 0.2500 0.7500 0.5000  4 I 3.97
2 Cs 0.7500 0.2500 0.5000  4 I 3.97
3 Na 0.0000 0.0000 0.0000  6 I 3.07-3.19
4 H 0.5000 0.5000 0.0000  4 I 2.39
5 I 0.2165 0.2165 0.0000  1 Na 3.07
6 I 0.2861 0.2861 0.5721  1 H 2.39
7 I 0.2861 0.7139 0.0000  1 H 2.39
8 I 0.7139 0.2861 0.0000  1 H 2.39
9 I 0.7139 0.7139 0.4279  1 H 2.39
10 I 0.7835 0.7835 0.0000  1 Na 3.07

Record 11
Computed, not measured: crystalline Sn2SeI2 at its relaxed geometry at the PBE-GGA level of DFT.

The total DFT energy (no corrections) is -31.53 eV per cell. The calculation puts the volume at 32.9 A^3/atom. As for the magnetic moment: 0.00 Bohr magnetons per cell. As for the energy above the lowest structure with this stoichiometry: 207 meV per atom. As for the space group: P4/mbm, No. 127.

a = 8.1133 Å, b = 8.1133 Å, c = 4.9955 Å
α = 90.00°, β = 90.00°, γ = 90.00°
Last column: nearest neighbours and their distance in Å.
Positions (direct):
1 Sn 0.1786 0.3214 0.0000  2 Se 2.98, 2 I 3.11
2 Sn 0.3214 0.8214 0.0000  2 Se 2.98, 2 I 3.11
3 Sn 0.6786 0.1786 0.0000  2 Se 2.98, 2 I 3.11
4 Sn 0.8214 0.6786 0.0000  2 Se 2.98, 2 I 3.11
5 Se 0.0000 0.0000 0.0000  4 Sn 2.98
6 Se 0.5000 0.5000 0.0000  4 Sn 2.98
7 I 0.1605 0.6605 0.5000  2 Sn 3.11
8 I 0.3395 0.1605 0.5000  2 Sn 3.11
9 I 0.6605 0.8395 0.5000  2 Sn 3.11
10 I 0.8395 0.3395 0.5000  2 Sn 3.11

Record 12
Computed, not measured: crystalline Sm6ZnSb2 at its relaxed geometry at the PBE-GGA level of DFT.

The total DFT energy (no corrections) is -43.08 eV per cell. The calculation puts the volume at 29.6 A^3/atom. As for the magnetic moment: 3.97 Bohr magnetons per cell. As for the space group: P-62m, No. 189.

a = 8.4978 Å, b = 8.4978 Å, c = 4.2636 Å
α = 90.00°, β = 90.00°, γ = 120.00°
Last column: nearest neighbours and their distance in Å.
Positions (direct):
1 Sm 0.0000 0.2477 0.0000  2 Zn 3.00, 2 Sb 3.26
2 Sm 0.0000 0.5885 0.5000  4 Sb 3.34, 1 Zn 3.50, 6 Sm 3.60-3.72
3 Sm 0.2477 0.0000 0.0000  2 Zn 3.00, 2 Sb 3.26
4 Sm 0.4115 0.4115 0.5000  4 Sb 3.34, 1 Zn 3.50, 6 Sm 3.60-3.72
5 Sm 0.5885 0.0000 0.5000  4 Sb 3.34, 1 Zn 3.50, 6 Sm 3.60-3.72
6 Sm 0.7523 0.7523 0.0000  2 Zn 3.00, 2 Sb 3.26
7 Zn 0.0000 0.0000 0.5000  6 Sm 3.00
8 Sb 0.3333 0.6667 0.0000  9 Sm 3.26-3.34
9 Sb 0.6667 0.3333 0.0000  9 Sm 3.26-3.34